# CaV2CuO8, optimized geometry, DFT PBE+U
# * N(E_F): 4.748 states/eV per cell
# * DFT total energy: -6.60 eV/atom
# * volume: 171 Å³/f.u.
# * size of the total moment: 1.05 μB per formula unit
data_CaV2CuO8
_space_group_name_H-M_alt 'P -3 m 1'
_space_group_IT_number 164
_space_group_name_Hall '-P 3 2"'
_cell_length_a 5.6102
_cell_length_b 5.6102
_cell_length_c 6.2582
_cell_angle_alpha 90.00
_cell_angle_beta 90.00
_cell_angle_gamma 120.00
loop_
_atom_site_label
_atom_site_type_symbol
_atom_site_fract_x
_atom_site_fract_y
_atom_site_fract_z
Ca1 Ca 0.0000 0.0000 0.0000
V1 V 0.3333 0.6667 0.2444
Cu1 Cu 0.0000 0.0000 0.5000
O1 O 0.1556 0.3111 0.3043
O2 O 0.3333 0.6667 0.9781